Entry 1:
DFT (PBE) results for crystalline PrSmI2 at its relaxed geometry.

**SG**: R3m (160)
**ΔE_f (raw)**: -0.85 eV per atom
**Excess energy over the best structure of this formula in the dataset**: 0 meV per atom

Geometry as POSCAR:
```
PrSmI2
1.0
3.886 0.000 0.000
1.943 3.366 0.000
1.943 1.122 9.779
I Sm Pr
2 1 1
Direct
0.082 0.082 0.755
0.251 0.251 0.246
0.665 0.665 0.005
0.502 0.502 0.494
```



Entry 2:
DFT (PBE) results for crystalline PrSmI2 at its relaxed geometry.

**SG**: R-3m (166)
**ΔE_f (raw)**: -0.81 eV per atom
**Excess energy over the best structure of this formula in the dataset**: 42 meV per atom

Geometry as POSCAR:
```
PrSmI2
1.0
-1.632 3.498 -0.068
-1.462 1.511 3.238
7.773 5.818 3.098
I Sm Pr
2 1 1
Direct
0.749 0.749 0.753
0.251 0.251 0.247
0.000 0.000 0.000
0.500 0.500 0.500
```



Entry 3:
DFT (PBE) results for crystalline PrSmI4 at its relaxed geometry.

**SG**: I-4m2 (119)
**ΔE_f (raw)**: -1.20 eV per atom
**Excess energy over the best structure of this formula in the dataset**: 86 meV per atom

Geometry as POSCAR:
```
PrSmI4
1.0
6.271 0.000 0.000
0.000 6.271 0.000
-3.135 -3.135 6.065
I Sm Pr
4 1 1
Direct
0.762 0.762 0.525
0.983 0.483 0.967
0.517 0.017 0.033
0.238 0.238 0.475
0.500 0.500 0.000
0.250 0.750 0.500
```



Please write out number 1 again, unchanged.
DFT (PBE) results for crystalline PrSmI2 at its relaxed geometry.

**SG**: R3m (160)
**ΔE_f (raw)**: -0.85 eV per atom
**Excess energy over the best structure of this formula in the dataset**: 0 meV per atom

Geometry as POSCAR:
```
PrSmI2
1.0
3.886 0.000 0.000
1.943 3.366 0.000
1.943 1.122 9.779
I Sm Pr
2 1 1
Direct
0.082 0.082 0.755
0.251 0.251 0.246
0.665 0.665 0.005
0.502 0.502 0.494
```